AlHgOs2 | the Open Quantum Materials Database | PBE-GGA | optimized geometry; theoretical density = 15.83 Mg/m³; total energy = -5.95 eV per atom; space-group type = F-43m, No. 216
1.0
0.000 3.171 3.171
3.171 0.000 3.171
3.171 3.171 0.000
Al Hg Os
1 1 2
direct
0.000 0.000 0.000 Al
0.250 0.250 0.250 Hg
0.500 0.500 0.500 Os
0.750 0.750 0.750 Os